ZrTiAg2 | PBE | optimized geometry

a b c (Å): 4.0995 4.0995 4.4156
angles (deg): 90.00 90.00 90.00
Sites, in units of the cell vectors:
Zr (0.0000, 0.0000, 0.0000)
Ti (0.5000, 0.5000, 0.0000)
Ag (0.0000, 0.5000, 0.5000)
Ag (0.5000, 0.0000, 0.5000)

Values from the calculation:
- ΔE to the lowest computed polymorph: 0.42 eV per formula unit
- Density of states at the Fermi level: 4.82 states/eV/f.u.
- Theoretical density: 7.94 g/cm3
- Symmetry: P4/mmm (123)


TlAg2 | PBE | optimized geometry

a b c (Å): 4.9156 4.9156 3.0998
angles (deg): 90.00 90.00 120.00
Sites, in units of the cell vectors:
Tl (0.0000, 0.0000, 0.0000)
Ag (0.3333, 0.6667, 0.5000)
Ag (0.6667, 0.3333, 0.5000)

Values from the calculation:
- ΔE to the lowest computed polymorph: 0.26 eV per formula unit
- Density of states at the Fermi level: 1.40 states/eV/f.u.
- Theoretical density: 10.76 g/cm3
- Symmetry: P6/mmm (191)


Tl2Ag | PBE | optimized geometry

a b c (Å): 5.9405 5.9405 8.5025
angles (deg): 100.83 100.83 32.39
Sites, in units of the cell vectors:
Tl (0.0000, 0.0000, 0.0000)
Tl (0.0371, 0.0371, 0.4170)
Tl (0.3346, 0.3346, 0.6295)
Tl (0.7515, 0.7515, 0.2557)
Ag (0.2658, 0.2658, 0.9571)
Ag (0.6108, 0.6108, 0.7311)

Values from the calculation:
- Density of states at the Fermi level: 1.31 states/eV/f.u.
- Final energy: -2.435 eV/atom
- Theoretical density: 10.88 g/cm3
- Symmetry: Cm (8)


Tl2Ag | PBE | optimized geometry

a b c (Å): 7.0924 7.0924 6.9982
angles (deg): 105.07 105.07 27.81
Sites, in units of the cell vectors:
Tl (0.1421, 0.1421, 0.0705)
Tl (0.1559, 0.1559, 0.5838)
Tl (0.8441, 0.8441, 0.4162)
Tl (0.8579, 0.8579, 0.9295)
Ag (0.4985, 0.4985, 0.7286)
Ag (0.5015, 0.5015, 0.2714)

Values from the calculation:
- Density of states at the Fermi level: 0.89 states/eV/f.u.
- Final energy: -2.436 eV/atom
- Theoretical density: 10.84 g/cm3
- Symmetry: C2/m (12)


Tl8Ag | PBE | optimized geometry

a b c (Å): 7.9109 7.9109 7.9109
angles (deg): 94.79 94.79 146.42
Sites, in units of the cell vectors:
Tl (0.0000, 0.3289, 0.3289)
Tl (0.0000, 0.6711, 0.6711)
Tl (0.3289, 0.0000, 0.3289)
Tl (0.3419, 0.3419, 0.6838)
Tl (0.3419, 0.6581, 0.0000)
Tl (0.6581, 0.3419, 0.0000)
Tl (0.6581, 0.6581, 0.3162)
Tl (0.6711, 0.0000, 0.6711)
Ag (0.0000, 0.0000, 0.0000)

Values from the calculation:
- Density of states at the Fermi level: 4.81 states/eV/f.u.
- Final energy: -2.351 eV/atom
- Theoretical density: 11.04 g/cm3
- Symmetry: I4/mmm (139)


Tl3Ag | PBE | optimized geometry

a b c (Å): 5.2011 6.7270 6.2668
angles (deg): 90.00 90.00 90.00
Sites, in units of the cell vectors:
Tl (0.2500, 0.0000, 0.1633)
Tl (0.2500, 0.2500, 0.6236)
Tl (0.2500, 0.5000, 0.1633)
Tl (0.7500, 0.0000, 0.8367)
Tl (0.7500, 0.5000, 0.8367)
Tl (0.7500, 0.7500, 0.3764)
Ag (0.2500, 0.7500, 0.6934)
Ag (0.7500, 0.2500, 0.3066)

Values from the calculation:
- ΔE to the lowest computed polymorph: 0.16 eV per formula unit
- Density of states at the Fermi level: 1.47 states/eV/f.u.
- Theoretical density: 10.92 g/cm3
- Symmetry: Pmmn (59)


Tl5Ag | PBE | optimized geometry

a b c (Å): 5.2933 9.2019 9.2019
angles (deg): 22.46 90.00 90.00
Sites, in units of the cell vectors:
Tl (0.0000, 0.0000, 0.0000)
Tl (0.0000, 0.3018, 0.3018)
Tl (0.5000, 0.1926, 0.1926)
Tl (0.5000, 0.5377, 0.5377)
Tl (0.5000, 0.8668, 0.8668)
Ag (0.0000, 0.6517, 0.6517)

Values from the calculation:
- ΔE to the lowest computed polymorph: 0.04 eV per formula unit
- Density of states at the Fermi level: 1.76 states/eV/f.u.
- Theoretical density: 10.95 g/cm3
- Symmetry: Amm2 (38)


Tl2Ag3 | PBE | optimized geometry

a b c (Å): 12.9347 5.5336 13.8659
angles (deg): 68.77 23.50 87.73
Sites, in units of the cell vectors:
Tl (0.3050, 0.6950, 0.3098)
Tl (0.5598, 0.9402, 0.5550)
Tl (0.6950, 0.3050, 0.6902)
Tl (0.9402, 0.5598, 0.9450)
Ag (0.0905, 0.8969, 0.0967)
Ag (0.1533, 0.3341, 0.1595)
Ag (0.3341, 0.1533, 0.3531)
Ag (0.4911, 0.4911, 0.5089)
Ag (0.7411, 0.7411, 0.7589)
Ag (0.8969, 0.0905, 0.9159)

Values from the calculation:
- ΔE to the lowest computed polymorph: 0.00 eV per formula unit
- Density of states at the Fermi level: 1.56 states/eV/f.u.
- Theoretical density: 10.69 g/cm3
- Symmetry: Fdd2 (43)


Tl3Ag | PBE | optimized geometry

a b c (Å): 5.8825 5.8825 3.4608
angles (deg): 90.00 90.00 113.77
Sites, in units of the cell vectors:
Tl (0.0000, 0.0000, 0.0000)
Tl (0.0000, 0.5000, 0.5000)
Tl (0.5000, 0.0000, 0.5000)
Ag (0.5000, 0.5000, 0.0000)

Values from the calculation:
- ΔE to the lowest computed polymorph: 0.20 eV per formula unit
- Density of states at the Fermi level: 1.90 states/eV/f.u.
- Theoretical density: 10.92 g/cm3
- Symmetry: Cmmm (65)


TlAg2 | PBE | optimized geometry

a b c (Å): 6.8157 6.8157 6.8157
angles (deg): 90.00 90.00 90.00
Sites, in units of the cell vectors:
Tl (0.0000, 0.0000, 0.0000)
Tl (0.0000, 0.5000, 0.5000)
Tl (0.5000, 0.0000, 0.5000)
Tl (0.5000, 0.5000, 0.0000)
Ag (0.1181, 0.6181, 0.8819)
Ag (0.1181, 0.8819, 0.3819)
Ag (0.3819, 0.1181, 0.8819)
Ag (0.3819, 0.3819, 0.3819)
Ag (0.6181, 0.6181, 0.6181)
Ag (0.6181, 0.8819, 0.1181)
Ag (0.8819, 0.1181, 0.6181)
Ag (0.8819, 0.3819, 0.1181)

Values from the calculation:
- ΔE to the lowest computed polymorph: 1.11 eV per formula unit
- Density of states at the Fermi level: 2.35 states/eV/f.u.
- Theoretical density: 8.81 g/cm3
- Symmetry: Pa-3 (205)


Tl12Ag | PBE | optimized geometry

a b c (Å): 7.9841 7.9841 7.9841
angles (deg): 109.47 109.47 109.47
Sites, in units of the cell vectors:
Tl (0.1275, 0.8182, 0.3093)
Tl (0.1818, 0.3093, 0.4911)
Tl (0.1818, 0.6907, 0.8725)
Tl (0.3093, 0.1275, 0.8182)
Tl (0.3093, 0.4911, 0.1818)
Tl (0.4911, 0.1818, 0.3093)
Tl (0.5089, 0.8182, 0.6907)
Tl (0.6907, 0.5089, 0.8182)
Tl (0.6907, 0.8725, 0.1818)
Tl (0.8182, 0.3093, 0.1275)
Tl (0.8182, 0.6907, 0.5089)
Tl (0.8725, 0.1818, 0.6907)
Ag (0.0000, 0.0000, 0.0000)

Values from the calculation:
- Density of states at the Fermi level: 7.64 states/eV/f.u.
- Final energy: -2.349 eV/atom
- Theoretical density: 10.85 g/cm3
- Symmetry: Im-3 (204)


TlAg2 | PBE | optimized geometry

a b c (Å): 10.0263 10.0263 10.0263
angles (deg): 157.79 157.79 31.61
Sites, in units of the cell vectors:
Tl (0.3750, 0.6250, 0.7500)
Tl (0.6250, 0.3750, 0.2500)
Ag (0.0511, 0.8011, 0.2500)
Ag (0.1989, 0.9489, 0.2500)
Ag (0.8011, 0.0511, 0.7500)
Ag (0.9489, 0.1989, 0.7500)

Values from the calculation:
- ΔE to the lowest computed polymorph: 0.44 eV per formula unit
- Density of states at the Fermi level: 0.76 states/eV/f.u.
- Theoretical density: 9.70 g/cm3
- Symmetry: I4_1/amd (141)